1.
{"formula": "Pr3TeOsBr", "functional": "PBE", "state": "relaxed", "lattice_angstrom": [[4.403, 0.000, 0.000], [0.000, 11.356, 0.242], [0.000, -2.421, 8.257]], "species": ["Pr", "Pr", "Pr", "Pr", "Pr", "Pr", "Te", "Te", "Os", "Os", "Br", "Br"], "frac_coords": [[0.750, 0.710, 0.019], [0.250, 0.290, 0.981], [0.250, 0.787, 0.405], [0.750, 0.213, 0.595], [0.750, 0.495, 0.269], [0.250, 0.505, 0.731], [0.250, 0.302, 0.378], [0.750, 0.698, 0.622], [0.250, 0.587, 0.113], [0.750, 0.413, 0.887], [0.250, 0.049, 0.700], [0.750, 0.951, 0.300]], "dft_energy_ev_per_atom": -5.9914, "crystal_system": "monoclinic", "e_form_raw_ev_per_fu": -5.57, "rho_g_cm3": 6.56}

=====

2.
{"formula": "Pr4Te2OsBr", "functional": "PBE", "state": "relaxed", "lattice_angstrom": [[4.309, 0.000, 0.000], [0.000, 7.808, -0.324], [0.000, 2.594, 7.328]], "species": ["Pr", "Pr", "Pr", "Pr", "Te", "Te", "Os", "Br"], "frac_coords": [[0.000, 0.729, 0.722], [0.000, 0.271, 0.278], [0.500, 0.713, 0.287], [0.500, 0.287, 0.713], [0.000, 0.000, 0.000], [0.500, 0.000, 0.500], [0.000, 0.500, 0.500], [0.500, 0.500, 0.000]], "dft_energy_ev_per_atom": -5.7860, "crystal_system": "monoclinic", "e_form_raw_ev_per_fu": -7.98, "rho_g_cm3": 7.23}

=====

3.
{"formula": "OsPt3Br", "functional": "PBE", "state": "relaxed", "lattice_angstrom": [[4.660, 0.000, 0.000], [0.000, 4.660, 0.000], [0.000, 0.000, 4.660]], "species": ["Os", "Br", "Pt", "Pt", "Pt"], "frac_coords": [[0.500, 0.500, 0.500], [0.000, 0.000, 0.000], [0.000, 0.500, 0.000], [0.000, 0.000, 0.500], [0.500, 0.000, 0.000]], "dft_energy_ev_per_atom": -4.3203, "crystal_system": "cubic", "e_form_raw_ev_per_fu": 9.42, "rho_g_cm3": 14.03}

=====

4.
{"formula": "OsPtBr", "functional": "PBE", "state": "relaxed", "lattice_angstrom": [[-1.577, -0.782, -3.342], [1.164, -2.808, 2.243], [-5.279, -0.167, 2.530]], "species": ["Os", "Br", "Pt"], "frac_coords": [[0.667, 0.333, 0.351], [0.000, 0.000, 0.100], [0.333, 0.667, 0.549]], "dft_energy_ev_per_atom": -5.5087, "crystal_system": "trigonal", "e_form_raw_ev_per_fu": 2.42, "rho_g_cm3": 10.67}

=====

5.
{"formula": "OsPtBr2", "functional": "PBE", "state": "relaxed", "lattice_angstrom": [[4.905, -1.548, -0.966], [-1.513, 4.914, -0.974], [-2.391, -2.369, 5.425]], "species": ["Os", "Pt", "Br", "Br"], "frac_coords": [[0.483, 0.517, 0.000], [0.804, 0.196, 0.500], [0.041, 0.959, 0.000], [0.172, 0.828, 0.500]], "dft_energy_ev_per_atom": -4.4908, "crystal_system": "orthorhombic", "e_form_raw_ev_per_fu": 2.65, "rho_g_cm3": 10.25}

=====

6.
{"formula": "OsPtBr2", "functional": "PBE", "state": "relaxed", "lattice_angstrom": [[5.465, -0.013, 0.016], [-1.763, 5.173, 0.016], [1.033, 1.440, 2.631]], "species": ["Os", "Br", "Br", "Pt"], "frac_coords": [[0.500, 0.000, 0.500], [0.000, 0.000, 0.000], [0.500, 0.500, 0.000], [0.000, 0.500, 0.500]], "dft_energy_ev_per_atom": -3.9855, "crystal_system": "monoclinic", "e_form_raw_ev_per_fu": 4.67, "rho_g_cm3": 12.22}

=====

7.
{"formula": "Os4PtBr", "functional": "PBE", "state": "relaxed", "lattice_angstrom": [[0.000, 3.690, 3.690], [3.690, 0.000, 3.690], [3.690, 3.690, 0.000]], "species": ["Os", "Os", "Os", "Os", "Pt", "Br"], "frac_coords": [[0.875, 0.375, 0.375], [0.375, 0.375, 0.875], [0.375, 0.875, 0.375], [0.375, 0.375, 0.375], [0.750, 0.750, 0.750], [0.000, 0.000, 0.000]], "dft_energy_ev_per_atom": -7.3570, "crystal_system": "cubic", "e_form_raw_ev_per_fu": 8.49, "rho_g_cm3": 17.12}

=====

8.
{"formula": "Os2PtBr", "functional": "PBE", "state": "relaxed", "lattice_angstrom": [[-0.529, -3.287, 2.985], [1.844, 0.348, 4.059], [-2.594, 0.633, 3.587]], "species": ["Os", "Os", "Br", "Pt"], "frac_coords": [[0.250, 0.250, 0.250], [0.750, 0.750, 0.750], [0.000, 0.000, 0.000], [0.500, 0.500, 0.500]], "dft_energy_ev_per_atom": -6.2378, "crystal_system": "cubic", "e_form_raw_ev_per_fu": 5.22, "rho_g_cm3": 17.21}

=====

9.
{"formula": "OsPtBr2", "functional": "PBE", "state": "relaxed", "lattice_angstrom": [[8.933, 0.000, 0.000], [0.000, 8.933, 0.000], [4.467, 4.467, 2.480]], "species": ["Os", "Os", "Br", "Br", "Br", "Br", "Pt", "Pt"], "frac_coords": [[0.500, 0.500, 0.000], [0.250, 0.750, 0.500], [0.484, 0.125, 0.250], [0.266, 0.625, 0.250], [0.375, 0.516, 0.750], [0.875, 0.734, 0.750], [0.000, 0.000, 0.000], [0.750, 0.250, 0.500]], "dft_energy_ev_per_atom": -4.3237, "crystal_system": "tetragonal", "e_form_raw_ev_per_fu": 3.32, "rho_g_cm3": 9.15}

=====

10.
{"formula": "OsPt3Br", "functional": "PBE", "state": "relaxed", "lattice_angstrom": [[4.868, 0.000, 0.000], [0.000, 4.868, 0.000], [0.000, 0.000, 4.868]], "species": ["Os", "Br", "Pt", "Pt", "Pt"], "frac_coords": [[0.000, 0.000, 0.000], [0.500, 0.500, 0.500], [0.000, 0.500, 0.000], [0.000, 0.000, 0.500], [0.500, 0.000, 0.000]], "dft_energy_ev_per_atom": -4.8402, "crystal_system": "cubic", "e_form_raw_ev_per_fu": 6.82, "rho_g_cm3": 12.31}

=====

11.
{"formula": "OsPtBr2", "functional": "PBE", "state": "relaxed", "lattice_angstrom": [[-2.768, 0.687, -2.078], [-0.600, -2.935, -0.171], [-4.975, 0.611, 6.828]], "species": ["Os", "Br", "Br", "Pt"], "frac_coords": [[0.000, 0.375, 0.536], [0.000, 0.875, 0.926], [0.500, 0.376, 0.335], [0.500, 0.875, 0.703]], "dft_energy_ev_per_atom": -4.7625, "crystal_system": "monoclinic", "e_form_raw_ev_per_fu": 1.57, "rho_g_cm3": 10.09}

=====

12.
{"formula": "Os2PtBr", "functional": "PBE", "state": "relaxed", "lattice_angstrom": [[8.951, 0.019, 0.011], [8.483, 2.856, 0.011], [8.483, 1.399, 2.490]], "species": ["Os", "Os", "Br", "Pt"], "frac_coords": [[0.000, 0.000, 0.000], [0.500, 0.500, 0.500], [0.750, 0.750, 0.750], [0.250, 0.250, 0.250]], "dft_energy_ev_per_atom": -6.6072, "crystal_system": "trigonal", "e_form_raw_ev_per_fu": 3.74, "rho_g_cm3": 17.28}

=====

13.
{"formula": "Os3PtBr", "functional": "PBE", "state": "relaxed", "lattice_angstrom": [[-4.107, -0.607, -2.644], [1.978, -3.953, -2.165], [-1.856, -2.869, 3.543]], "species": ["Os", "Os", "Os", "Br", "Pt"], "frac_coords": [[0.000, 0.500, 0.000], [0.000, 0.000, 0.500], [0.500, 0.000, 0.000], [0.500, 0.500, 0.500], [0.000, 0.000, 0.000]], "dft_energy_ev_per_atom": -5.5984, "crystal_system": "cubic", "e_form_raw_ev_per_fu": 13.41, "rho_g_cm3": 11.78}

=====

14.
{"formula": "OsPtBr2", "functional": "PBE", "state": "relaxed", "lattice_angstrom": [[3.709, -0.547, 0.246], [2.322, 2.944, 0.246], [1.332, 0.529, 8.251]], "species": ["Os", "Br", "Br", "Pt"], "frac_coords": [[0.568, 0.568, 0.291], [0.961, 0.961, 0.101], [0.786, 0.786, 0.657], [0.184, 0.184, 0.452]], "dft_energy_ev_per_atom": -4.7935, "crystal_system": "monoclinic", "e_form_raw_ev_per_fu": 1.44, "rho_g_cm3": 9.12}

=====

15.
{"formula": "Os2PtBr", "functional": "PBE", "state": "relaxed", "lattice_angstrom": [[-4.608, -0.186, 0.660], [3.037, -1.530, 4.452], [0.104, 2.338, 1.626]], "species": ["Os", "Os", "Br", "Pt"], "frac_coords": [[0.000, 0.000, 0.000], [0.500, 0.000, 0.500], [0.500, 0.500, 0.000], [0.000, 0.500, 0.500]], "dft_energy_ev_per_atom": -6.2839, "crystal_system": "monoclinic", "e_form_raw_ev_per_fu": 5.04, "rho_g_cm3": 16.74}

=====

16.
{"formula": "Os2PtBr", "functional": "PBE", "state": "relaxed", "lattice_angstrom": [[2.780, -0.005, 0.000], [-1.422, 2.389, 0.000], [0.000, 0.000, 10.842]], "species": ["Os", "Os", "Br", "Pt"], "frac_coords": [[0.000, 0.000, 0.038], [0.500, 0.500, 0.237], [0.500, 0.500, 0.766], [0.000, 0.000, 0.459]], "dft_energy_ev_per_atom": -6.7236, "crystal_system": "orthorhombic", "e_form_raw_ev_per_fu": 3.28, "rho_g_cm3": 15.13}

=====

17.
{"formula": "OsPtBr", "functional": "PBE", "state": "relaxed", "lattice_angstrom": [[-3.741, -0.491, 2.168], [0.037, -0.452, 4.328], [-1.483, 3.211, 2.536]], "species": ["Os", "Br", "Pt"], "frac_coords": [[0.250, 0.250, 0.250], [0.500, 0.500, 0.500], [0.000, 0.000, 0.000]], "dft_energy_ev_per_atom": -5.2247, "crystal_system": "cubic", "e_form_raw_ev_per_fu": 3.27, "rho_g_cm3": 13.25}

=====

18.
{"formula": "OsPtBr2", "functional": "PBE", "state": "relaxed", "lattice_angstrom": [[-7.364, 4.108, 1.817], [-8.455, 1.201, 1.215], [-7.349, 1.910, 4.092]], "species": ["Os", "Br", "Br", "Pt"], "frac_coords": [[0.250, 0.250, 0.250], [0.992, 0.992, 0.992], [0.508, 0.508, 0.508], [0.750, 0.750, 0.750]], "dft_energy_ev_per_atom": -4.1279, "crystal_system": "trigonal", "e_form_raw_ev_per_fu": 4.10, "rho_g_cm3": 12.39}

=====

19.
{"formula": "Os2PtBr", "functional": "PBE", "state": "relaxed", "lattice_angstrom": [[-5.460, 1.817, 1.321], [-2.689, -0.655, 5.215], [4.306, 2.094, -3.455]], "species": ["Os", "Os", "Br", "Pt"], "frac_coords": [[0.973, 0.973, 0.000], [0.771, 0.271, 0.500], [0.233, 0.733, 0.500], [0.524, 0.524, 0.000]], "dft_energy_ev_per_atom": -6.5674, "crystal_system": "orthorhombic", "e_form_raw_ev_per_fu": 3.90, "rho_g_cm3": 16.13}

=====

20.
{"formula": "OsPtBr2", "functional": "PBE", "state": "relaxed", "lattice_angstrom": [[4.792, -0.018, 0.000], [0.736, 4.735, 0.000], [-2.764, -2.359, 3.124]], "species": ["Os", "Br", "Br", "Pt"], "frac_coords": [[0.250, 0.750, 0.500], [0.000, 0.000, 0.000], [0.500, 0.500, 0.000], [0.750, 0.250, 0.500]], "dft_energy_ev_per_atom": -3.7718, "crystal_system": "tetragonal", "e_form_raw_ev_per_fu": 5.53, "rho_g_cm3": 12.76}